The following is a DFT calculation (PBE-GGA) of ZnAsCl2 after structural relaxation.

Computed properties:
* crystal system: orthorhombic
* excess energy over the best structure of this formula in the dataset: 236.3 meV per atom
* formation energy without anion corrections: -0.190 eV/atom

a b c (Å): 3.3049 3.3049 11.9637
angles (deg): 90.00 90.00 119.96
Element x y z (fractional)
1 As 0.5000 0.5000 0.7500
2 Zn 0.5000 0.5000 0.2500
3 Cl 0.0000 0.0000 0.1131
4 Cl 0.0000 0.0000 0.3869

---

The following is a DFT calculation (PBE-GGA) of BaHf2BSb after structural relaxation.

Computed properties:
* crystal system: tetragonal
* formation energy without anion corrections: 0.288 eV/atom

a b c (Å): 4.7882 4.7882 5.1632
angles (deg): 90.00 90.00 90.00
Element x y z (fractional)
1 Sb 0.0000 0.0000 0.5000
2 B 0.0000 0.0000 0.0000
3 Hf 0.0000 0.5000 0.0000
4 Hf 0.5000 0.0000 0.0000
5 Ba 0.5000 0.5000 0.5000

---

The following is a DFT calculation (PBE-GGA) of ZrScPt2 after structural relaxation.

Computed properties:
* crystal system: trigonal
* calculated formation energy: -400 meV per atom

a b c (Å): 9.5114 9.5114 9.5114
angles (deg): 18.48 18.48 18.48
Last column: magnetic moment on the atom in μB.
Element x y z (fractional)
1 Pt 0.9997 0.9997 0.9997  0.01
2 Pt 0.2486 0.2486 0.2486  0.00
3 Sc 0.5067 0.5067 0.5067  0.09
4 Zr 0.7451 0.7451 0.7451  0.01

---

The following is a DFT calculation (PBE-GGA) of CdTc3 after structural relaxation.

Computed properties:
* crystal system: tetragonal
* excess energy over the best structure of this formula in the dataset: 275.8 meV per atom
* calculated formation energy: 477 meV per atom

a b c (Å): 4.9578 4.9578 4.9578
angles (deg): 133.72 133.72 67.53
Element x y z (fractional)
1 Cd 0.0000 0.0000 0.0000
2 Tc 0.2500 0.7500 0.5000
3 Tc 0.5000 0.5000 0.0000
4 Tc 0.7500 0.2500 0.5000

---

The following is a DFT calculation (PBE-GGA) of Nd2Sn4RhAu3 after structural relaxation.

Computed properties:
* crystal system: tetragonal
* calculated formation energy: -558 meV per atom

a b c (Å): 4.5657 4.5657 11.4833
angles (deg): 90.00 90.00 90.00
Element x y z (fractional)
1 Nd 0.5000 0.0000 0.2735
2 Nd 0.0000 0.5000 0.7265
3 Sn 0.5000 0.5000 0.0000
4 Sn 0.0000 0.0000 0.0000
5 Sn 0.5000 0.0000 0.6243
6 Sn 0.0000 0.5000 0.3757
7 Rh 0.5000 0.5000 0.5000
8 Au 0.0000 0.0000 0.5000
9 Au 0.5000 0.0000 0.8548
10 Au 0.0000 0.5000 0.1452

---

The following is a DFT calculation (PBE-GGA) of KNa3Sb after structural relaxation.

Computed properties:
* crystal system: monoclinic
* excess energy over the best structure of this formula in the dataset: 0.0 meV per atom
* formation energy without anion corrections: -0.272 eV/atom

a b c (Å): 8.8800 9.1431 10.8028
angles (deg): 99.87 90.00 90.00
Element x y z (fractional)
1 K 0.9388 0.7250 0.2265
2 K 0.0612 0.2750 0.7735
3 K 0.4388 0.2750 0.2735
4 K 0.5612 0.7250 0.7265
5 Na 0.1085 0.0650 0.4008
6 Na 0.8915 0.9350 0.5992
7 Na 0.6085 0.9350 0.0992
8 Na 0.3915 0.0650 0.9008
9 Na 0.4364 0.8744 0.3718
10 Na 0.5636 0.1256 0.6282
11 Na 0.9364 0.1256 0.1282
12 Na 0.0636 0.8744 0.8718
13 Na 0.1516 0.6227 0.5454
14 Na 0.8484 0.3773 0.4546
15 Na 0.6516 0.3773 0.9546
16 Na 0.3484 0.6227 0.0454
17 Sb 0.2550 0.9429 0.6303
18 Sb 0.7450 0.0571 0.3697
19 Sb 0.7550 0.0571 0.8697
20 Sb 0.2450 0.9429 0.1303

---

The following is a DFT calculation (PBE-GGA) of TiMoCl3 after structural relaxation.

Computed properties:
* crystal system: cubic
* excess energy over the best structure of this formula in the dataset: 261.1 meV per atom
* formation energy without anion corrections: 0.204 eV/atom

a b c (Å): 4.9664 4.9664 4.9664
angles (deg): 90.00 90.00 90.00
Last column: magnetic moment on the atom in μB.
Element x y z (fractional)
1 Mo 0.0000 0.0000 0.0000  2.60
2 Cl 0.0000 0.5000 0.0000  0.02
3 Cl 0.0000 0.0000 0.5000  0.01
4 Cl 0.5000 0.0000 0.0000  0.07
5 Ti 0.5000 0.5000 0.5000  -2.22

---

The following is a DFT calculation (PBE-GGA) of Dy2InI after structural relaxation.

Computed properties:
* crystal system: trigonal
* excess energy over the best structure of this formula in the dataset: 52.0 meV per atom
* formation energy without anion corrections: -0.502 eV/atom

a b c (Å): 4.4366 4.4366 7.7430
angles (deg): 73.35 73.35 60.00
Element x y z (fractional)
1 I 0.5000 0.5000 0.5000
2 In 0.0000 0.0000 0.0000
3 Dy 0.2606 0.2606 0.2183
4 Dy 0.7394 0.7394 0.7817

---

The following is a DFT calculation (PBE-GGA) of CsDyHgO3 after structural relaxation.

Computed properties:
* crystal system: monoclinic
* formation energy without anion corrections: -1.932 eV/atom

a b c (Å): 3.6340 10.9368 7.7223
angles (deg): 122.09 90.00 90.00
Element x y z (fractional)
1 Cs 0.2500 0.3240 0.2853
2 Cs 0.7500 0.6760 0.7147
3 Dy 0.2500 0.6488 0.1832
4 Dy 0.7500 0.3512 0.8168
5 Hg 0.2500 0.0016 0.6870
6 Hg 0.7500 0.9984 0.3130
7 O 0.7500 0.7809 0.1537
8 O 0.2500 0.2191 0.8463
9 O 0.2500 0.7869 0.5340
10 O 0.7500 0.2131 0.4660
11 O 0.7500 0.5159 0.1628
12 O 0.2500 0.4841 0.8372

---

The following is a DFT calculation (PBE-GGA) of Sc2GaPd4 after structural relaxation.

Computed properties:
* crystal system: tetragonal
* excess energy over the best structure of this formula in the dataset: 418.4 meV per atom
* calculated formation energy: -262 meV per atom

a b c (Å): 4.6137 4.6137 7.4634
angles (deg): 72.00 72.00 90.00
Element x y z (fractional)
1 Sc 0.3698 0.3698 0.2605
2 Sc 0.6302 0.6302 0.7395
3 Ga 0.0000 0.0000 0.0000
4 Pd 0.1861 0.1861 0.6277
5 Pd 0.8139 0.8139 0.3723
6 Pd 0.0000 0.5000 0.0000
7 Pd 0.5000 0.0000 0.0000

---

The following is a DFT calculation (PBE-GGA) of ScTaCo2 after structural relaxation.

Computed properties:
* crystal system: trigonal
* calculated formation energy: 77 meV per atom

a b c (Å): 7.6728 7.6728 7.6728
angles (deg): 23.41 23.41 23.41
Last column: magnetic moment on the atom in μB.
Element x y z (fractional)
1 Co 0.0058 0.0058 0.0058  0.18
2 Co 0.4942 0.4942 0.4942  0.18
3 Sc 0.2500 0.2500 0.2500  -0.01
4 Ta 0.7500 0.7500 0.7500  -0.03

---

The following is a DFT calculation (PBE-GGA) of Ac2AgPt2 after structural relaxation.

Computed properties:
* crystal system: tetragonal
* calculated formation energy: -908 meV per atom

a b c (Å): 4.0435 8.1229 8.1229
angles (deg): 90.00 90.00 90.00
Element x y z (fractional)
1 Ac 0.5000 0.1711 0.6711
2 Ac 0.5000 0.6711 0.8289
3 Ac 0.5000 0.8289 0.3289
4 Ac 0.5000 0.3289 0.1711
5 Ag 0.0000 0.0000 0.0000
6 Ag 0.0000 0.5000 0.5000
7 Pt 0.0000 0.3701 0.8701
8 Pt 0.0000 0.8701 0.6299
9 Pt 0.0000 0.6299 0.1299
10 Pt 0.0000 0.1299 0.3701

---

The following is a DFT calculation (PBE-GGA) of Tl2Sb2Au after structural relaxation.

Computed properties:
* crystal system: orthorhombic
* excess energy over the best structure of this formula in the dataset: 10.9 meV per atom
* formation energy without anion corrections: -0.013 eV/atom

a b c (Å): 6.0340 6.2345 8.7165
angles (deg): 110.95 110.25 90.00
Element x y z (fractional)
1 Tl 0.1822 0.8707 0.3644
2 Tl 0.8178 0.1293 0.6356
3 Tl 0.3178 0.5063 0.6356
4 Tl 0.6822 0.4937 0.3644
5 Sb 0.4246 0.0853 0.8493
6 Sb 0.5754 0.9147 0.1507
7 Sb 0.0754 0.2361 0.1507
8 Sb 0.9246 0.7639 0.8493
9 Au 0.7500 0.5000 0.0000
10 Au 0.2500 0.5000 0.0000

---

The following is a DFT calculation (PBE-GGA) of Pr2Ho3Hg3 after structural relaxation.

Computed properties:
* crystal system: orthorhombic
* calculated formation energy: -339 meV per atom

a b c (Å): 3.7802 5.2930 11.7319
angles (deg): 103.04 99.27 90.00
Element x y z (fractional)
1 Pr 0.7296 0.2296 0.4593
2 Pr 0.2704 0.7704 0.5407
3 Ho 0.6171 0.6171 0.2341
4 Ho 0.3829 0.3829 0.7659
5 Ho 0.5000 0.0000 0.0000
6 Hg 0.1120 0.1120 0.2239
7 Hg 0.0000 0.5000 0.0000
8 Hg 0.8880 0.8880 0.7761

---

The following is a DFT calculation (PBE-GGA) of La3IrF after structural relaxation.

Computed properties:
* crystal system: cubic
* excess energy over the best structure of this formula in the dataset: 0.0 meV per atom
* formation energy without anion corrections: -0.924 eV/atom

a b c (Å): 4.9565 4.9565 4.9565
angles (deg): 90.00 90.00 90.00
Element x y z (fractional)
1 F 0.0000 0.0000 0.0000
2 Ir 0.5000 0.5000 0.5000
3 La 0.0000 0.5000 0.0000
4 La 0.0000 0.0000 0.5000
5 La 0.5000 0.0000 0.0000

---

The following is a DFT calculation (PBE-GGA) of Tb3YTl3 after structural relaxation.

Computed properties:
* crystal system: cubic
* excess energy over the best structure of this formula in the dataset: 0.0 meV per atom
* calculated formation energy: -266 meV per atom

a b c (Å): 9.3662 9.3662 9.3662
angles (deg): 90.00 90.00 90.00
Element x y z (fractional)
1 Tb 0.8236 0.3236 0.1764
2 Tb 0.9273 0.9273 0.9273
3 Tb 0.8236 0.6764 0.3236
4 Tb 0.1764 0.8236 0.3236
5 Tb 0.1764 0.1764 0.1764
6 Tb 0.3236 0.8236 0.6764
7 Tb 0.0727 0.4273 0.5727
8 Tb 0.3236 0.1764 0.8236
9 Tb 0.6764 0.3236 0.8236
10 Tb 0.6764 0.6764 0.6764
11 Tb 0.5727 0.0727 0.4273
12 Tb 0.4273 0.5727 0.0727
13 Y 0.0728 0.5728 0.9272
14 Y 0.9272 0.0728 0.5728
15 Y 0.4272 0.4272 0.4272
16 Y 0.5728 0.9272 0.0728
17 Tl 0.7499 0.6266 0.0001
18 Tl 0.8734 0.9999 0.2499
19 Tl 0.0001 0.7499 0.6266
20 Tl 0.1266 0.4999 0.2501
21 Tl 0.2501 0.1266 0.4999
22 Tl 0.2499 0.8734 0.9999
23 Tl 0.9999 0.2499 0.8734
24 Tl 0.3734 0.5001 0.7501
25 Tl 0.4999 0.2501 0.1266
26 Tl 0.6266 0.0001 0.7499
27 Tl 0.7501 0.3734 0.5001
28 Tl 0.5001 0.7501 0.3734

---

The following is a DFT calculation (PBE-GGA) of ZrPt2W after structural relaxation.

Computed properties:
* crystal system: tetragonal
* calculated formation energy: -442 meV per atom

a b c (Å): 3.3977 3.3977 6.0370
angles (deg): 90.00 90.00 90.00
Element x y z (fractional)
1 Pt 0.0000 0.0000 0.9996
2 Pt 0.5000 0.5000 0.2668
3 W 0.0000 0.0000 0.4666
4 Zr 0.5000 0.5000 0.7670

---

The following is a DFT calculation (PBE-GGA) of Tb3P4Rh4 after structural relaxation.

Computed properties:
* crystal system: orthorhombic
* calculated formation energy: -1179 meV per atom

a b c (Å): 3.9775 6.9767 7.7572
angles (deg): 116.72 104.86 90.00
Element x y z (fractional)
1 Tb 0.1215 0.1215 0.2429
2 Tb 0.8785 0.8785 0.7571
3 Tb 0.0000 0.5000 0.0000
4 P 0.2192 0.7192 0.4385
5 P 0.7808 0.2808 0.5615
6 P 0.5000 0.7925 0.0000
7 P 0.5000 0.2075 0.0000
8 Rh 0.3238 0.1219 0.6476
9 Rh 0.6762 0.4743 0.3524
10 Rh 0.6762 0.8781 0.3524
11 Rh 0.3238 0.5257 0.6476

---

The following is a DFT calculation (PBE-GGA) of YCo2Mo after structural relaxation.

Computed properties:
* crystal system: monoclinic
* excess energy over the best structure of this formula in the dataset: 127.5 meV per atom
* calculated formation energy: 140 meV per atom

a b c (Å): 4.0695 3.1158 5.3677
angles (deg): 73.33 90.00 90.00
Element x y z (fractional)
1 Co 0.0000 0.1804 0.0121
2 Co 0.5000 0.0392 0.3026
3 Mo 0.0000 0.5033 0.3686
4 Y 0.5000 0.7771 0.8167

---

The following is a DFT calculation (PBE-GGA) of Sc2TlIr after structural relaxation.

Computed properties:
* crystal system: orthorhombic
* calculated formation energy: -512 meV per atom

a b c (Å): 4.7629 3.4721 4.7633
angles (deg): 90.00 90.00 90.00
Element x y z (fractional)
1 Ir 0.5000 0.6251 0.8759
2 Sc 0.0000 0.1250 0.8744
3 Sc 0.5000 0.1250 0.3756
4 Tl 0.0000 0.6250 0.3740